Run i
# CePm2Pu (PBE-GGA, optimized geometry)
# crystal system = tetragonal
data_CePm2Pu
_chemical_formula_sum 'Ce1 Pm2 Pu1'
_symmetry_space_group_name_H-M 'P 4/m m m'
_symmetry_Int_Tables_number 123
_symmetry_space_group_name_Hall '-P 4 2'
_cell_length_a 4.862
_cell_length_b 4.862
_cell_length_c 5.218
_cell_angle_alpha 90.00
_cell_angle_beta 90.00
_cell_angle_gamma 90.00
loop_
_atom_site_label
_atom_site_type_symbol
_atom_site_fract_x
_atom_site_fract_y
_atom_site_fract_z
Ce1 Ce 0.000 0.000 0.000
Pm1 Pm 0.000 0.500 0.500
Pu1 Pu 0.500 0.500 0.000

***

Run ii
# CePm2Pu (PBE-GGA, optimized geometry)
# crystal system = cubic
data_CePm2Pu
_chemical_formula_sum 'Ce4 Pm8 Pu4'
_symmetry_space_group_name_H-M 'F m -3 m'
_symmetry_Int_Tables_number 225
_symmetry_space_group_name_Hall '-F 4 2 3'
_cell_length_a 7.991
_cell_length_b 7.991
_cell_length_c 7.991
_cell_angle_alpha 90.00
_cell_angle_beta 90.00
_cell_angle_gamma 90.00
loop_
_atom_site_label
_atom_site_type_symbol
_atom_site_fract_x
_atom_site_fract_y
_atom_site_fract_z
Ce1 Ce 0.000 0.000 0.000
Pm1 Pm 0.250 0.250 0.250
Pu1 Pu 0.000 0.000 0.500

***

Q: Which of them is the most stable? A: run i.

***

Run i
# CePm2Rh (PBE-GGA, optimized geometry)
# crystal system = trigonal
data_CePm2Rh
_chemical_formula_sum 'Ce3 Pm6 Rh3'
_symmetry_space_group_name_H-M 'R -3 m'
_symmetry_Int_Tables_number 166
_symmetry_space_group_name_Hall '-R 3 2"'
_cell_length_a 3.7031
_cell_length_b 3.7031
_cell_length_c 31.7377
_cell_angle_alpha 90.00
_cell_angle_beta 90.00
_cell_angle_gamma 120.00
loop_
_atom_site_label
_atom_site_type_symbol
_atom_site_fract_x
_atom_site_fract_y
_atom_site_fract_z
Ce1 Ce 0.0000 0.0000 0.0000
Pm1 Pm 0.0000 0.0000 0.1098
Rh1 Rh 0.0000 0.0000 0.5000

***

Run ii
# CePm2Rh (PBE-GGA, optimized geometry)
# crystal system = orthorhombic
data_CePm2Rh
_chemical_formula_sum 'Ce4 Pm8 Rh4'
_symmetry_space_group_name_H-M 'P n m a'
_symmetry_Int_Tables_number 62
_cell_length_a 7.149
_cell_length_b 9.892
_cell_length_c 6.480
_cell_angle_alpha 90.00
_cell_angle_beta 90.00
_cell_angle_gamma 90.00
loop_
_symmetry_equiv_pos_as_xyz
'x,y,z'
'-x,-y,-z'
'-x+1/2,-y,z+1/2'
'x+1/2,y,-z+1/2'
'x+1/2,-y+1/2,-z+1/2'
'-x+1/2,y+1/2,z+1/2'
'-x,y+1/2,-z'
'x,-y+1/2,z'
loop_
_atom_site_label
_atom_site_type_symbol
_atom_site_fract_x
_atom_site_fract_y
_atom_site_fract_z
Ce1 Ce 0.040 0.250 0.157
Pm1 Pm 0.179 0.065 0.666
Rh1 Rh 0.131 0.750 0.467

***

Run iii
# CePm2Rh (PBE-GGA, optimized geometry)
# crystal system = tetragonal
data_CePm2Rh
_chemical_formula_sum 'Ce1 Pm2 Rh1'
_symmetry_space_group_name_H-M 'P 4/m m m'
_symmetry_Int_Tables_number 123
_symmetry_space_group_name_Hall '-P 4 2'
_cell_length_a 3.554
_cell_length_b 3.554
_cell_length_c 8.668
_cell_angle_alpha 90.00
_cell_angle_beta 90.00
_cell_angle_gamma 90.00
loop_
_atom_site_label
_atom_site_type_symbol
_atom_site_fract_x
_atom_site_fract_y
_atom_site_fract_z
Ce1 Ce 0.000 0.000 0.000
Pm1 Pm 0.500 0.500 0.306
Rh1 Rh 0.000 0.000 0.500

***

Run iv
# CePm2Rh (PBE-GGA, optimized geometry)
# crystal system = orthorhombic
data_CePm2Rh
_chemical_formula_sum 'Ce4 Pm8 Rh4'
_symmetry_space_group_name_H-M 'P n n a'
_symmetry_Int_Tables_number 52
_cell_length_a 6.724
_cell_length_b 6.473
_cell_length_c 11.364
_cell_angle_alpha 90.00
_cell_angle_beta 90.00
_cell_angle_gamma 90.00
loop_
_symmetry_equiv_pos_as_xyz
'x,y,z'
'-x,-y,-z'
'-x+1/2,-y,z'
'x+1/2,y,-z'
'x,-y+1/2,-z+1/2'
'-x,y+1/2,z+1/2'
'-x+1/2,y+1/2,-z+1/2'
'x+1/2,-y+1/2,z+1/2'
loop_
_atom_site_label
_atom_site_type_symbol
_atom_site_fract_x
_atom_site_fract_y
_atom_site_fract_z
Ce1 Ce 0.064 0.250 0.250
Pm1 Pm 0.093 0.238 0.584
Rh1 Rh 0.250 0.000 0.097

***

Q: Which of them is the most stable? A: run ii.

***

Run i
# Ce2Pm2Rh3 (PBE-GGA, optimized geometry)
# crystal system = cubic
data_Ce2Pm2Rh3
_chemical_formula_sum 'Ce8 Pm8 Rh12'
_symmetry_space_group_name_H-M 'I 21 3'
_symmetry_Int_Tables_number 199
_symmetry_space_group_name_Hall 'I 2b 2c 3'
_cell_length_a 8.754
_cell_length_b 8.754
_cell_length_c 8.754
_cell_angle_alpha 90.00
_cell_angle_beta 90.00
_cell_angle_gamma 90.00
loop_
_atom_site_label
_atom_site_type_symbol
_atom_site_fract_x
_atom_site_fract_y
_atom_site_fract_z
Ce1 Ce 0.056 0.444 0.556
Pm1 Pm 0.190 0.190 0.190
Rh1 Rh 0.000 0.250 0.877

***

Run ii
# Ce2Pm2Rh3 (PBE-GGA, optimized geometry)
# crystal system = monoclinic
data_Ce2Pm2Rh3
_chemical_formula_sum 'Ce4 Pm4 Rh6'
_symmetry_space_group_name_H-M 'C 1 2/m 1'
_symmetry_Int_Tables_number 12
_cell_length_a 14.596
_cell_length_b 4.276
_cell_length_c 5.864
_cell_angle_alpha 90.00
_cell_angle_beta 101.29
_cell_angle_gamma 90.00
loop_
_symmetry_equiv_pos_as_xyz
'x,y,z'
'-x,-y,-z'
'-x,y,-z'
'x,-y,z'
'x+1/2,y+1/2,z'
'-x+1/2,-y+1/2,-z'
'-x+1/2,y+1/2,-z'
'x+1/2,-y+1/2,z'
loop_
_atom_site_label
_atom_site_type_symbol
_atom_site_fract_x
_atom_site_fract_y
_atom_site_fract_z
Ce1 Ce 0.164 0.000 0.323
Pm1 Pm 0.090 0.500 0.802
Rh1 Rh 0.000 0.000 0.000
Rh2 Rh 0.232 0.000 0.812

***

Q: Which of them is the most stable? A: run i.

***

Run i
# CePm2Rh2 (PBE-GGA, optimized geometry)
# crystal system = monoclinic
data_CePm2Rh2
_chemical_formula_sum 'Ce4 Pm8 Rh8'
_symmetry_space_group_name_H-M 'C 1 2/c 1'
_symmetry_Int_Tables_number 15
_cell_length_a 11.354
_cell_length_b 6.156
_cell_length_c 7.374
_cell_angle_alpha 90.00
_cell_angle_beta 100.90
_cell_angle_gamma 90.00
loop_
_symmetry_equiv_pos_as_xyz
'x,y,z'
'-x,-y,-z'
'-x,y,-z+1/2'
'x,-y,z+1/2'
'x+1/2,y+1/2,z'
'-x+1/2,-y+1/2,-z'
'-x+1/2,y+1/2,-z+1/2'
'x+1/2,-y+1/2,z+1/2'
loop_
_atom_site_label
_atom_site_type_symbol
_atom_site_fract_x
_atom_site_fract_y
_atom_site_fract_z
Ce1 Ce 0.000 0.080 0.250
Pm1 Pm 0.156 0.393 0.649
Rh1 Rh 0.155 0.111 0.025

***

Run ii
# CePm2Rh2 (PBE-GGA, optimized geometry)
# crystal system = orthorhombic
data_CePm2Rh2
_chemical_formula_sum 'Ce4 Pm8 Rh8'
_symmetry_space_group_name_H-M 'C m c 21'
_symmetry_Int_Tables_number 36
_cell_length_a 3.978
_cell_length_b 20.525
_cell_length_c 6.259
_cell_angle_alpha 90.00
_cell_angle_beta 90.00
_cell_angle_gamma 90.00
loop_
_symmetry_equiv_pos_as_xyz
'x,y,z'
'-x,-y,z+1/2'
'-x,y,z'
'x,-y,z+1/2'
'x+1/2,y+1/2,z'
'-x+1/2,-y+1/2,z+1/2'
'-x+1/2,y+1/2,z'
'x+1/2,-y+1/2,z+1/2'
loop_
_atom_site_label
_atom_site_type_symbol
_atom_site_fract_x
_atom_site_fract_y
_atom_site_fract_z
Ce1 Ce 0.000 0.123 0.000
Pm1 Pm 0.000 0.310 0.958
Pm2 Pm 0.000 0.481 0.164
Rh1 Rh 0.000 0.076 0.379
Rh2 Rh 0.000 0.296 0.452

***

Q: Which of them is the most stable? A: run i.